# 1
A plane-wave DFT calculation with PBE was carried out for a relaxed structure of TiMn2AlBr.

Summary:
Total moment, Bohr magnetons per cell: 0.0
Energy relative to the elements, uncorrected, eV per atom: 1.290
DOS at the Fermi energy, states/eV/atom: 1.268

Lattice parameters (Å, degrees): 4.247 4.247 4.905 90.00 90.00 90.00
Sites, in units of the cell vectors:
Ti 0.000 0.000 0.000
Mn 0.000 0.500 0.500
Mn 0.500 0.000 0.500
Al 0.500 0.500 0.000
Br 0.500 0.500 0.500

# 2
A plane-wave DFT calculation with PBE was carried out for a relaxed structure of Hf2SbRh5.

Summary:
Total moment, Bohr magnetons per cell: 0.0
Energy relative to the elements, uncorrected, eV per atom: -0.890
DOS at the Fermi energy, states/eV/atom: 0.228

Lattice parameters (Å, degrees): 5.652 11.037 4.148 90.00 90.00 90.00
Sites, in units of the cell vectors:
Hf 0.174 0.144 0.000
Hf 0.326 0.644 0.000
Hf 0.674 0.356 0.000
Hf 0.826 0.856 0.000
Sb 0.000 0.500 0.500
Sb 0.500 0.000 0.500
Rh 0.000 0.000 0.500
Rh 0.066 0.746 0.500
Rh 0.198 0.389 0.000
Rh 0.302 0.889 0.000
Rh 0.434 0.246 0.500
Rh 0.500 0.500 0.500
Rh 0.566 0.754 0.500
Rh 0.698 0.111 0.000
Rh 0.802 0.611 0.000
Rh 0.934 0.254 0.500

# 3
A plane-wave DFT calculation with PBE was carried out for a relaxed structure of SrCaZr2O6.

Summary:
Total moment, Bohr magnetons per cell: 0.0
Energy relative to the elements, uncorrected, eV per atom: -3.193
DOS at the Fermi energy, states/eV/atom: 0.000

Lattice parameters (Å, degrees): 5.781 5.781 4.205 90.00 90.00 90.48
Sites, in units of the cell vectors:
Sr 0.000 0.000 0.000
Ca 0.500 0.500 0.000
Zr 0.000 0.500 0.500
Zr 0.500 0.000 0.500
O 0.000 0.500 0.000
O 0.184 0.816 0.500
O 0.320 0.320 0.500
O 0.500 0.000 0.000
O 0.680 0.680 0.500
O 0.816 0.184 0.500

- DOS at the Fermi energy of number 3 (SrCaZr2O6)?
  0.000 states/eV/atom

Please write out number 2 again, unchanged.
A plane-wave DFT calculation with PBE was carried out for a relaxed structure of Hf2SbRh5.

Summary:
Total moment, Bohr magnetons per cell: 0.0
Energy relative to the elements, uncorrected, eV per atom: -0.890
DOS at the Fermi energy, states/eV/atom: 0.228

Lattice parameters (Å, degrees): 5.652 11.037 4.148 90.00 90.00 90.00
Sites, in units of the cell vectors:
Hf 0.174 0.144 0.000
Hf 0.326 0.644 0.000
Hf 0.674 0.356 0.000
Hf 0.826 0.856 0.000
Sb 0.000 0.500 0.500
Sb 0.500 0.000 0.500
Rh 0.000 0.000 0.500
Rh 0.066 0.746 0.500
Rh 0.198 0.389 0.000
Rh 0.302 0.889 0.000
Rh 0.434 0.246 0.500
Rh 0.500 0.500 0.500
Rh 0.566 0.754 0.500
Rh 0.698 0.111 0.000
Rh 0.802 0.611 0.000
Rh 0.934 0.254 0.500